Record 1
Density functional theory data (GGA-PBE) for crystalline Rb8HI3Br4 at its relaxed geometry.

* ρ: 3.165 g/cm³
* D(E_F): 0.00 states/eV per atom
* uncorrected energy: -2.8338 eV per atom

Cell and atoms, written as extended XYZ:
```
16
Lattice="8.740 -5.047 0.000 8.740 5.047 0.000 -5.814 0.000 8.237" Properties=species:S:1:pos:R:3 pbc="T T T"
Rb 4.302 2.658 6.158
Rb 7.364 2.658 2.079
Rb 0.010 0.000 6.036
Rb 2.808 0.000 2.113
Rb 8.858 0.000 6.124
Rb 11.656 0.000 2.201
Rb 4.302 -2.658 6.158
Rb 7.364 -2.658 2.079
H 0.000 0.000 0.000
I 4.370 2.523 0.000
I 4.370 -2.523 0.000
I 8.740 0.000 0.000
Br -2.907 0.000 4.119
Br 1.463 2.523 4.119
Br 1.463 -2.523 4.119
Br 5.833 0.000 4.119
```


Record 2
Density functional theory data (GGA-PBE) for crystalline Rb8HI3Br3 at its relaxed geometry.

* ρ: 2.928 g/cm³
* D(E_F): 0.19 states/eV per atom
* uncorrected energy: -2.6577 eV per atom

Cell and atoms, written as extended XYZ:
```
15
Lattice="5.055 2.919 8.360 -5.055 2.919 8.360 0.000 -5.838 8.360" Properties=species:S:1:pos:R:3 pbc="T T T"
Rb 0.000 0.000 6.127
Rb -2.434 -1.406 14.416
Rb 0.000 -2.811 10.663
Rb -2.434 1.406 10.663
Rb 2.434 -1.406 14.416
Rb 0.000 2.811 14.416
Rb 2.434 1.406 10.663
Rb 0.000 0.000 18.952
H 0.000 0.000 12.540
I -2.528 -1.459 8.360
I -2.528 1.459 16.719
I 0.000 2.919 8.360
Br -5.055 0.000 12.540
Br -2.528 1.459 4.180
Br 2.528 1.459 4.180
```


Record 3
Density functional theory data (GGA-PBE) for crystalline Rb3H2I2Br4 at its relaxed geometry.

* ρ: 3.773 g/cm³
* D(E_F): 1.12 states/eV per atom
* uncorrected energy: -2.2883 eV per atom

Cell and atoms, written as extended XYZ:
```
11
Lattice="-2.401 2.401 15.872 2.401 -2.401 15.872 2.401 2.401 -15.872" Properties=species:S:1:pos:R:3 pbc="T T T"
Rb 0.000 0.000 0.000
Rb 0.000 0.000 5.288
Rb 0.000 0.000 26.456
H 0.000 0.000 13.328
H 0.000 0.000 18.415
I 0.000 0.000 9.183
I 0.000 0.000 22.560
Br 2.401 0.000 2.534
Br 2.401 0.000 13.338
Br 0.000 2.401 2.534
Br 0.000 2.401 13.338
```


Record 4
Density functional theory data (GGA-PBE) for crystalline Rb6H2I3Br at its relaxed geometry.

* ρ: 3.170 g/cm³
* D(E_F): 0.00 states/eV per atom
* uncorrected energy: -2.6279 eV per atom

Cell and atoms, written as extended XYZ:
```
12
Lattice="4.256 -7.357 0.000 4.256 7.357 0.000 -2.850 0.000 8.160" Properties=species:S:1:pos:R:3 pbc="T T T"
Rb -0.079 2.583 6.384
Rb 1.267 0.000 1.737
Rb -0.079 -2.583 6.384
Rb 5.741 2.583 1.776
Rb 4.394 0.000 6.423
Rb 5.741 -2.583 1.776
H 4.256 4.896 0.000
H 4.256 -4.896 0.000
I -1.425 0.000 4.080
I 2.831 2.367 4.080
I 2.831 -2.367 4.080
Br 4.256 0.000 0.000
```


Record 5
Density functional theory data (GGA-PBE) for crystalline Rb3HIBr at its relaxed geometry.

* ρ: 3.070 g/cm³
* D(E_F): 0.00 states/eV per atom
* uncorrected energy: -2.6734 eV per atom

Cell and atoms, written as extended XYZ:
```
12
Lattice="9.634 -2.802 0.000 9.634 2.802 0.000 -2.377 0.000 9.301" Properties=species:S:1:pos:R:3 pbc="T T T"
Rb -0.610 0.000 2.479
Rb 5.054 0.000 6.146
Rb 6.278 0.000 1.757
Rb 10.615 0.000 7.544
Rb 11.838 0.000 3.155
Rb 17.502 0.000 6.822
H 7.856 0.000 6.790
H 9.036 0.000 2.511
I 2.732 0.000 0.695
I 14.161 0.000 8.606
Br 1.586 0.000 5.345
Br 15.306 0.000 3.956
```


Record 6
Density functional theory data (GGA-PBE) for crystalline Rb6H2IBr3 at its relaxed geometry.

* ρ: 3.016 g/cm³
* D(E_F): 0.00 states/eV per atom
* uncorrected energy: -2.7322 eV per atom

Cell and atoms, written as extended XYZ:
```
12
Lattice="10.520 -2.428 0.000 10.520 2.428 0.000 -2.271 0.000 9.497" Properties=species:S:1:pos:R:3 pbc="T T T"
Rb -0.375 0.000 2.567
Rb 5.870 0.000 4.077
Rb 4.836 0.000 8.520
Rb 13.934 0.000 0.977
Rb 12.899 0.000 5.421
Rb 19.144 0.000 6.930
H 2.864 0.000 3.283
H 15.905 0.000 6.215
I 10.520 0.000 0.000
Br 1.545 0.000 7.869
Br 9.385 0.000 4.749
Br 17.224 0.000 1.628
```


Record 7
Density functional theory data (GGA-PBE) for crystalline RbHIBr at its relaxed geometry.

* ρ: 2.971 g/cm³
* D(E_F): 0.00 states/eV per atom
* uncorrected energy: -2.7548 eV per atom

Cell and atoms, written as extended XYZ:
```
4
Lattice="5.723 0.000 0.000 0.000 4.841 0.000 -1.070 0.000 5.917" Properties=species:S:1:pos:R:3 pbc="T T T"
Rb 0.000 0.000 0.000
H 0.641 2.420 3.870
I 1.806 2.420 5.626
Br -0.488 2.420 2.759
```


Record 8
Density functional theory data (GGA-PBE) for crystalline SbH2IBr at its relaxed geometry.

* ρ: 4.876 g/cm³
* D(E_F): 0.60 states/eV per atom
* uncorrected energy: -2.3638 eV per atom

Cell and atoms, written as extended XYZ:
```
5
Lattice="4.371 0.000 0.000 0.000 4.371 0.000 0.000 0.000 5.892" Properties=species:S:1:pos:R:3 pbc="T T T"
Sb 0.000 0.000 0.000
H 0.000 2.186 0.000
H 2.186 0.000 0.000
I 2.186 2.186 2.946
Br 0.000 0.000 2.946
```


Record 9
Density functional theory data (GGA-PBE) for crystalline Sb2HIBr at its relaxed geometry.

* ρ: 3.458 g/cm³
* D(E_F): 0.94 states/eV per atom
* uncorrected energy: -1.7903 eV per atom

Cell and atoms, written as extended XYZ:
```
5
Lattice="5.651 0.000 0.000 0.000 5.651 0.000 0.000 0.000 6.788" Properties=species:S:1:pos:R:3 pbc="T T T"
Sb 0.000 2.825 0.000
Sb 2.825 0.000 0.000
H 0.000 0.000 3.394
I 2.825 2.825 3.394
Br 2.825 2.825 0.000
```


Record 10
Density functional theory data (GGA-PBE) for crystalline SbHIBr2 at its relaxed geometry.

* ρ: 5.567 g/cm³
* D(E_F): 0.98 states/eV per atom
* uncorrected energy: -2.0706 eV per atom

Cell and atoms, written as extended XYZ:
```
5
Lattice="5.556 0.000 0.000 0.000 5.556 0.000 0.000 0.000 3.956" Properties=species:S:1:pos:R:3 pbc="T T T"
Sb 0.000 0.000 0.000
H 0.000 0.000 1.978
I 2.778 2.778 0.000
Br 0.000 2.778 1.978
Br 2.778 0.000 1.978
```


Record 11
Density functional theory data (GGA-PBE) for crystalline SbH2I2Br2 at its relaxed geometry.

* ρ: 3.857 g/cm³
* D(E_F): 0.14 states/eV per atom
* uncorrected energy: -2.4389 eV per atom

Cell and atoms, written as extended XYZ:
```
7
Lattice="7.543 -1.941 0.000 7.543 1.941 0.000 -6.064 0.000 7.901" Properties=species:S:1:pos:R:3 pbc="T T T"
Sb 0.000 0.000 0.000
H 2.797 0.000 5.360
H 6.225 0.000 2.541
I -0.560 0.000 6.834
I 9.582 0.000 1.067
Br -1.330 0.000 2.557
Br 10.352 0.000 5.344
```


Record 12
Density functional theory data (GGA-PBE) for crystalline SbHI2Br at its relaxed geometry.

* ρ: 3.520 g/cm³
* D(E_F): 0.27 states/eV per atom
* uncorrected energy: -1.5325 eV per atom

Cell and atoms, written as extended XYZ:
```
5
Lattice="6.093 0.000 0.000 0.000 6.093 0.000 0.000 0.000 5.801" Properties=species:S:1:pos:R:3 pbc="T T T"
Sb 0.000 0.000 0.000
H 3.046 3.046 0.000
I 0.000 3.046 2.900
I 3.046 0.000 2.900
Br 0.000 0.000 2.900
```


- Which formula does entry 3 have?
  Rb3H2I2Br4